(1)
Compound: Pm4Sm3Th2
Source: the Alexandria database
Functional: PBE-GGA
Structure: relaxed

```
Pm4Sm3Th2
1.0
3.571 0.000 -0.769
-0.768 9.006 -3.568
0.209 -0.581 9.650
Pm Sm Th
4 3 2
Direct
0.816 0.676 0.632 Pm
0.184 0.324 0.368 Pm
0.484 0.671 0.968 Pm
0.516 0.329 0.032 Pm
0.849 0.325 0.699 Sm
0.151 0.675 0.301 Sm
0.000 0.000 0.000 Sm
0.669 0.000 0.338 Th
0.331 0.000 0.662 Th
```

## Properties
Its magnetization is 0.00 μB/f.u. Its symmetry is No. 12. For the formation energy, the calculation gives 0.02 eV/atom. As for the calculated volume: 33.78 A^3/atom.



(2)
Compound: CrCuRuRh
Source: the Alexandria database
Functional: PBE-GGA
Structure: relaxed

```
CrCuRuRh
1.0
-1.637 1.661 3.488
2.133 -0.176 3.609
1.650 3.495 1.634
Ru Rh Cu Cr
1 1 1 1
Direct
0.750 0.750 0.750 Ru
0.250 0.250 0.250 Rh
0.000 0.000 0.000 Cu
0.500 0.500 0.500 Cr
```

## Properties
Its magnetization is 0.37 μB/f.u. Its symmetry is No. 216. For the formation energy, the calculation gives 0.13 eV/atom. As for the calculated volume: 13.06 A^3/atom.



(3)
Compound: ReAuCl2
Source: the Alexandria database
Functional: PBE-GGA
Structure: relaxed

```
ReAuCl2
1.0
5.321 0.000 0.059
4.533 2.787 0.059
2.499 0.707 6.625
Re Au Cl
1 1 2
Direct
0.555 0.555 0.625 Re
0.816 0.816 0.625 Au
0.989 0.989 0.915 Cl
0.141 0.141 0.334 Cl
```

## Properties
Its magnetization is 0.71 μB/f.u. The energy relative to the elements, uncorrected is 13 kJ/mol of atoms. Its symmetry is No. 8. As for the calculated volume: 24.45 A^3/atom.



(4)
Compound: PrY3Mg2
Source: the Alexandria database
Functional: PBE-GGA
Structure: relaxed

```
PrY3Mg2
1.0
3.708 0.000 0.000
0.000 3.708 0.000
0.000 0.000 13.029
Pr Y Mg
1 3 2
Direct
0.500 0.500 0.500 Pr
0.000 0.000 0.000 Y
0.000 0.000 0.696 Y
0.000 0.000 0.304 Y
0.500 0.500 0.850 Mg
0.500 0.500 0.150 Mg
```

## Properties
Its magnetization is 0.00 μB/f.u. Its symmetry is No. 123. For the formation energy, the calculation gives -0.06 eV/atom. As for the calculated volume: 29.86 A^3/atom.



(5)
Compound: RuRh2F
Source: the Alexandria database
Functional: PBE-GGA
Structure: relaxed

```
RuRh2F
1.0
3.298 0.715 2.573
0.301 3.681 2.091
-0.572 0.106 4.204
Ru Rh F
1 2 1
Direct
0.500 0.500 0.500 Ru
0.250 0.250 0.250 Rh
0.750 0.750 0.750 Rh
0.000 0.000 0.000 F
```

## Properties
Its magnetization is 1.07 μB/f.u. The energy relative to the elements, uncorrected is 24 kJ/mol of atoms. Its symmetry is No. 225. As for the calculated volume: 13.51 A^3/atom.



(6)
Compound: Cs2SrAs
Source: the Alexandria database
Functional: PBE-GGA
Structure: relaxed

```
Cs2SrAs
1.0
13.700 0.000 0.000
0.000 13.700 0.000
6.850 6.850 2.998
Cs Sr As
4 2 2
Direct
0.468 0.125 0.250 Cs
0.282 0.625 0.250 Cs
0.375 0.532 0.750 Cs
0.875 0.718 0.750 Cs
0.000 0.000 0.000 Sr
0.750 0.250 0.500 Sr
0.500 0.500 0.000 As
0.250 0.750 0.500 As
```

## Properties
Its magnetization is 0.00 μB/f.u. Its symmetry is No. 122. For the formation energy, the calculation gives -0.28 eV/atom. As for the calculated volume: 70.34 A^3/atom.



- magnetization of number 5 (RuRh2F)?
  1.07 μB/f.u.



- Look up the calculated volume of the fifth one.
  13.51 A^3/atom



What did the second record say?
Compound: CrCuRuRh
Source: the Alexandria database
Functional: PBE-GGA
Structure: relaxed

```
CrCuRuRh
1.0
-1.637 1.661 3.488
2.133 -0.176 3.609
1.650 3.495 1.634
Ru Rh Cu Cr
1 1 1 1
Direct
0.750 0.750 0.750 Ru
0.250 0.250 0.250 Rh
0.000 0.000 0.000 Cu
0.500 0.500 0.500 Cr
```

## Properties
Its magnetization is 0.37 μB/f.u. Its symmetry is No. 216. For the formation energy, the calculation gives 0.13 eV/atom. As for the calculated volume: 13.06 A^3/atom.